# PBE CrCu3Au, relaxed
# DOS at the Fermi energy in states/eV/cell: 3.362
# Calculated density in kg/m3: 7962
# Formation enthalpy at 0 K in kJ/mol of formula units: 593
# M_tot in μB/f.u.: 4.14
# E above lowest polymorph in meV/atom: 216
data_CrCu3Au
_symmetry_space_group_name_H-M 'P m -3 m'
_symmetry_Int_Tables_number 221
_symmetry_space_group_name_Hall '-P 4 2 3'
_cell_length_a 4.509
_cell_length_b 4.509
_cell_length_c 4.509
_cell_angle_alpha 90.00
_cell_angle_beta 90.00
_cell_angle_gamma 90.00
loop_
_atom_site_label
_atom_site_type_symbol
_atom_site_fract_x
_atom_site_fract_y
_atom_site_fract_z
Cr1 Cr 0.000 0.000 0.000
Cu1 Cu 0.000 0.000 0.500
Au1 Au 0.500 0.500 0.500

***

# PBE MgP2Pb, relaxed
# DOS at the Fermi energy in states/eV/cell: 11.994
# Calculated density in kg/m3: 5891
# Formation enthalpy at 0 K in kJ/mol of formula units: 168
# M_tot in μB/f.u.: 0.00
data_MgP2Pb
_symmetry_space_group_name_H-M 'F -4 3 m'
_symmetry_Int_Tables_number 216
_symmetry_space_group_name_Hall 'F -4 2 3'
_cell_length_a 6.916
_cell_length_b 6.916
_cell_length_c 6.916
_cell_angle_alpha 90.00
_cell_angle_beta 90.00
_cell_angle_gamma 90.00
loop_
_atom_site_label
_atom_site_type_symbol
_atom_site_fract_x
_atom_site_fract_y
_atom_site_fract_z
Mg1 Mg 0.000 0.000 0.000
P1 P 0.000 0.000 0.500
P2 P 0.250 0.250 0.750
Pb1 Pb 0.250 0.250 0.250